# 1
A plane-wave DFT calculation with PBE was carried out for a relaxed YTmBeRu crystal.

abc: 4.8014 4.8014 4.8014
angles: 60.00 60.00 60.00
Sites, in units of the cell vectors:
Y (0.0000, 0.0000, 0.0000)
Tm (0.5000, 0.5000, 0.5000)
Be (0.2500, 0.2500, 0.2500)
Ru (0.7500, 0.7500, 0.7500)

Calculated values
SG: F-43m

# 2
A plane-wave DFT calculation with PBE was carried out for a relaxed U2BeRu3 crystal.

abc: 4.8061 4.8061 4.8061
angles: 70.80 70.80 70.80
Sites, in units of the cell vectors:
U (0.1261, 0.1261, 0.1261)
U (0.8739, 0.8739, 0.8739)
Be (0.5000, 0.5000, 0.5000)
Ru (0.0000, 0.5000, 0.5000)
Ru (0.5000, 0.0000, 0.5000)
Ru (0.5000, 0.5000, 0.0000)

Calculated values
SG: R-3m

# 3
A plane-wave DFT calculation with PBE was carried out for a relaxed UBeRu2 crystal.

abc: 2.9719 2.9719 6.5725
angles: 90.00 90.00 90.00
Sites, in units of the cell vectors:
U (0.0000, 0.0000, 0.0000)
Be (0.0000, 0.0000, 0.5000)
Ru (0.5000, 0.5000, 0.2977)
Ru (0.5000, 0.5000, 0.7023)

Calculated values
SG: P4/mmm
E above lowest polymorph, meV/atom: 179

# 4
A plane-wave DFT calculation with PBE was carried out for a relaxed UBeRu3 crystal.

abc: 4.1996 4.1996 4.1996
angles: 90.00 90.00 90.00
Sites, in units of the cell vectors:
U (0.0000, 0.0000, 0.0000)
Be (0.5000, 0.5000, 0.5000)
Ru (0.0000, 0.5000, 0.5000)
Ru (0.5000, 0.0000, 0.5000)
Ru (0.5000, 0.5000, 0.0000)

Calculated values
SG: Pm-3m

# 5
A plane-wave DFT calculation with PBE was carried out for a relaxed UBeRu2 crystal.

abc: 8.1685 8.1685 8.1685
angles: 20.37 20.37 20.37
Sites, in units of the cell vectors:
U (0.0000, 0.0000, 0.0000)
Be (0.5000, 0.5000, 0.5000)
Ru (0.2335, 0.2335, 0.2335)
Ru (0.7665, 0.7665, 0.7665)

Calculated values
SG: R-3m
E above lowest polymorph, meV/atom: 390

# 6
A plane-wave DFT calculation with PBE was carried out for a relaxed U3Be2Ru5 crystal.

abc: 9.6859 9.6859 3.3679
angles: 90.00 90.00 90.00
Sites, in units of the cell vectors:
U (0.0000, 0.0000, 0.0000)
U (0.1692, 0.3308, 0.0000)
U (0.3308, 0.8308, 0.0000)
U (0.5000, 0.5000, 0.0000)
U (0.6692, 0.1692, 0.0000)
U (0.8308, 0.6692, 0.0000)
Be (0.1242, 0.6242, 0.0000)
Be (0.3758, 0.1242, 0.0000)
Be (0.6242, 0.8758, 0.0000)
Be (0.8758, 0.3758, 0.0000)
Ru (0.0000, 0.5000, 0.5000)
Ru (0.0767, 0.7893, 0.5000)
Ru (0.2107, 0.0767, 0.5000)
Ru (0.2893, 0.5767, 0.5000)
Ru (0.4233, 0.2893, 0.5000)
Ru (0.5000, 0.0000, 0.5000)
Ru (0.5767, 0.7107, 0.5000)
Ru (0.7107, 0.4233, 0.5000)
Ru (0.7893, 0.9233, 0.5000)
Ru (0.9233, 0.2107, 0.5000)

Calculated values
SG: P4/mbm

# 7
A plane-wave DFT calculation with PBE was carried out for a relaxed UBeRu2 crystal.

abc: 4.1259 4.1259 3.5459
angles: 90.00 90.00 90.00
Sites, in units of the cell vectors:
U (0.0000, 0.0000, 0.0000)
Be (0.5000, 0.5000, 0.0000)
Ru (0.0000, 0.5000, 0.5000)
Ru (0.5000, 0.0000, 0.5000)

Calculated values
SG: P4/mmm
E above lowest polymorph, meV/atom: 0

# 8
A plane-wave DFT calculation with PBE was carried out for a relaxed UBeRu2 crystal.

abc: 4.4571 4.4571 4.4571
angles: 60.00 60.00 60.00
Sites, in units of the cell vectors:
U (0.0000, 0.0000, 0.0000)
Be (0.5000, 0.5000, 0.5000)
Ru (0.2500, 0.2500, 0.2500)
Ru (0.7500, 0.7500, 0.7500)

Calculated values
SG: Fm-3m
E above lowest polymorph, meV/atom: 204

# 9
A plane-wave DFT calculation with PBE was carried out for a relaxed UBe4Ru crystal.

abc: 4.7045 4.7045 4.7045
angles: 60.00 60.00 60.00
Sites, in units of the cell vectors:
U (0.0000, 0.0000, 0.0000)
Be (0.3776, 0.3776, 0.3776)
Be (0.3776, 0.3776, 0.8672)
Be (0.3776, 0.8672, 0.3776)
Be (0.8672, 0.3776, 0.3776)
Ru (0.7500, 0.7500, 0.7500)

Calculated values
SG: F-43m

# 10
A plane-wave DFT calculation with PBE was carried out for a relaxed Zr2UBe2Ru5 crystal.

abc: 9.4986 9.4986 3.3424
angles: 90.00 90.00 90.00
Sites, in units of the cell vectors:
Zr (0.1687, 0.3313, 0.0000)
Zr (0.3313, 0.8313, 0.0000)
Zr (0.6687, 0.1687, 0.0000)
Zr (0.8313, 0.6687, 0.0000)
U (0.0000, 0.0000, 0.0000)
U (0.5000, 0.5000, 0.0000)
Be (0.1234, 0.6234, 0.0000)
Be (0.3766, 0.1234, 0.0000)
Be (0.6234, 0.8766, 0.0000)
Be (0.8766, 0.3766, 0.0000)
Ru (0.0000, 0.5000, 0.5000)
Ru (0.0744, 0.7902, 0.5000)
Ru (0.2098, 0.0744, 0.5000)
Ru (0.2902, 0.5744, 0.5000)
Ru (0.4256, 0.2902, 0.5000)
Ru (0.5000, 0.0000, 0.5000)
Ru (0.5744, 0.7098, 0.5000)
Ru (0.7098, 0.4256, 0.5000)
Ru (0.7902, 0.9256, 0.5000)
Ru (0.9256, 0.2098, 0.5000)

Calculated values
SG: P4/mbm

# 11
A plane-wave DFT calculation with PBE was carried out for a relaxed Be3VRu4 crystal.

abc: 4.0451 4.0451 5.6838
angles: 90.00 90.00 90.00
Sites, in units of the cell vectors:
Be (0.0000, 0.0000, 0.0000)
Be (0.0000, 0.0000, 0.5000)
Be (0.5000, 0.5000, 0.0000)
V (0.5000, 0.5000, 0.5000)
Ru (0.0000, 0.5000, 0.2366)
Ru (0.0000, 0.5000, 0.7634)
Ru (0.5000, 0.0000, 0.2366)
Ru (0.5000, 0.0000, 0.7634)

Calculated values
SG: P4/mmm

# 12
A plane-wave DFT calculation with PBE was carried out for a relaxed Be2V2Ru crystal.

abc: 6.0401 6.0401 3.0571
angles: 90.00 90.00 90.00
Sites, in units of the cell vectors:
Be (0.1230, 0.3770, 0.0000)
Be (0.3770, 0.8770, 0.0000)
Be (0.6230, 0.1230, 0.0000)
Be (0.8770, 0.6230, 0.0000)
V (0.1727, 0.6727, 0.5000)
V (0.3273, 0.1727, 0.5000)
V (0.6727, 0.8273, 0.5000)
V (0.8273, 0.3273, 0.5000)
Ru (0.0000, 0.0000, 0.0000)
Ru (0.5000, 0.5000, 0.0000)

Calculated values
SG: P4/mbm

# 13
A plane-wave DFT calculation with PBE was carried out for a relaxed BeV2Ru4 crystal.

abc: 6.6492 6.6492 6.6492
angles: 144.26 144.26 51.44
Sites, in units of the cell vectors:
Be (0.0000, 0.0000, 0.0000)
V (0.3645, 0.3645, 0.0000)
V (0.6355, 0.6355, 0.0000)
Ru (0.0000, 0.5000, 0.5000)
Ru (0.1809, 0.1809, 0.0000)
Ru (0.5000, 0.0000, 0.5000)
Ru (0.8191, 0.8191, 0.0000)

Calculated values
SG: I4/mmm
E above lowest polymorph, meV/atom: 399

# 14
A plane-wave DFT calculation with PBE was carried out for a relaxed BeV2Ru4 crystal.

abc: 7.0630 7.0630 7.0630
angles: 33.74 33.74 33.74
Sites, in units of the cell vectors:
Be (0.0000, 0.0000, 0.0000)
V (0.2514, 0.2514, 0.2514)
V (0.7486, 0.7486, 0.7486)
Ru (0.1269, 0.1269, 0.1269)
Ru (0.3764, 0.3764, 0.3764)
Ru (0.6236, 0.6236, 0.6236)
Ru (0.8731, 0.8731, 0.8731)

Calculated values
SG: R-3m
E above lowest polymorph, meV/atom: 0

# 15
A plane-wave DFT calculation with PBE was carried out for a relaxed Be3VRu crystal.

abc: 3.9816 3.9816 3.9816
angles: 90.00 90.00 90.00
Sites, in units of the cell vectors:
Be (0.0000, 0.0000, 0.5000)
Be (0.0000, 0.5000, 0.0000)
Be (0.5000, 0.0000, 0.0000)
V (0.0000, 0.0000, 0.0000)
Ru (0.5000, 0.5000, 0.5000)

Calculated values
SG: Pm-3m
E above lowest polymorph, meV/atom: 890

# 16
A plane-wave DFT calculation with PBE was carried out for a relaxed BeVRu2 crystal.

abc: 5.1742 5.1742 5.1742
angles: 106.32 106.32 115.98
Sites, in units of the cell vectors:
Be (0.0000, 0.0000, 0.0000)
Be (0.7500, 0.2500, 0.5000)
V (0.2500, 0.7500, 0.5000)
V (0.5000, 0.5000, 0.0000)
Ru (0.1008, 0.1250, 0.4758)
Ru (0.3750, 0.8992, 0.0242)
Ru (0.6492, 0.6250, 0.5242)
Ru (0.8750, 0.3508, 0.9758)

Calculated values
SG: I-42d

# 17
A plane-wave DFT calculation with PBE was carried out for a relaxed Be2VRu3 crystal.

abc: 2.9084 2.9084 8.4126
angles: 90.00 90.00 90.00
Sites, in units of the cell vectors:
Be (0.0000, 0.0000, 0.1548)
Be (0.0000, 0.0000, 0.8452)
V (0.0000, 0.0000, 0.5000)
Ru (0.5000, 0.5000, 0.0000)
Ru (0.5000, 0.5000, 0.3217)
Ru (0.5000, 0.5000, 0.6783)

Calculated values
SG: P4/mmm

# 18
A plane-wave DFT calculation with PBE was carried out for a relaxed Be3VRu crystal.

abc: 4.0832 4.0832 4.0832
angles: 90.00 90.00 90.00
Sites, in units of the cell vectors:
Be (0.0000, 0.0000, 0.5000)
Be (0.0000, 0.5000, 0.0000)
Be (0.5000, 0.0000, 0.0000)
V (0.5000, 0.5000, 0.5000)
Ru (0.0000, 0.0000, 0.0000)

Calculated values
SG: Pm-3m
E above lowest polymorph, meV/atom: 0

# 19
A plane-wave DFT calculation with PBE was carried out for a relaxed BeVRu2 crystal.

abc: 2.9360 2.9360 5.7059
angles: 90.00 90.00 90.00
Sites, in units of the cell vectors:
Be (0.0000, 0.0000, 0.0000)
V (0.0000, 0.0000, 0.5000)
Ru (0.5000, 0.5000, 0.2363)
Ru (0.5000, 0.5000, 0.7637)

Calculated values
SG: P4/mmm

# 20
A plane-wave DFT calculation with PBE was carried out for a relaxed BeV2Ru2 crystal.

abc: 6.9548 6.9548 2.8926
angles: 90.00 90.00 90.00
Sites, in units of the cell vectors:
Be (0.0000, 0.0000, 0.0000)
Be (0.5000, 0.5000, 0.0000)
V (0.1584, 0.3416, 0.5000)
V (0.3416, 0.8416, 0.5000)
V (0.6584, 0.1584, 0.5000)
V (0.8416, 0.6584, 0.5000)
Ru (0.1464, 0.6464, 0.0000)
Ru (0.3536, 0.1464, 0.0000)
Ru (0.6464, 0.8536, 0.0000)
Ru (0.8536, 0.3536, 0.0000)

Calculated values
SG: P4/mbm

| no. | energy of formation (eV per atom) | total moment (μB/f.u.) |
| --- | --- | --- |
| 1 | -0.17 | 0.00 |
| 2 | -0.33 | 1.53 |
| 3 | -0.15 | 0.00 |
| 4 | -0.17 | 0.00 |
| 5 | 0.06 | 0.00 |
| 6 | -0.32 | 3.43 |
| 7 | -0.33 | 0.00 |
| 8 | -0.12 | 1.10 |
| 9 | 0.03 | 2.00 |
| 10 | -0.54 | 0.00 |
| 11 | -0.28 | 0.00 |
| 12 | -0.29 | 0.00 |
| 13 | 0.36 | 0.00 |
| 14 | -0.04 | 0.00 |
| 15 | 1.48 | 1.59 |
| 16 | 0.27 | 0.00 |
| 17 | -0.30 | 0.00 |
| 18 | 0.59 | 2.50 |
| 19 | -0.37 | 0.00 |
| 20 | 0.09 | 0.00 |